A geometry-optimized FeIrRh2F structure, computed with PBE+U.

CIF file:
```
data_FeIrRh2F
_cell_length_a 4.2268
_cell_length_b 4.2268
_cell_length_c 4.3042
_cell_angle_alpha 90.00
_cell_angle_beta 90.00
_cell_angle_gamma 90.00
_space_group_name_H-M_alt 'P 4/m m m'
_space_group_IT_number 123
_space_group_name_Hall '-P 4 2'
loop_
_atom_site_label
_atom_site_type_symbol
_atom_site_fract_x
_atom_site_fract_y
_atom_site_fract_z
_atom_site_occupancy
Fe1 Fe 0.0000 0.0000 0.0000 1
Ir1 Ir 0.5000 0.5000 0.0000 1
Rh1 Rh 0.0000 0.5000 0.5000 1
F1 F 0.5000 0.5000 0.5000 1
```

Values from the calculation:
The calculation puts the calculated density at 10.21 g cm⁻³. The calculated total energy comes out at -5.329 eV per atom. Its total magnetization is 5.38 Bohr magnetons per cell.